No. 1
A relaxed structure of TaP2Pb. Source: the Alexandria database, functional GGA-PBEsol.

Properties
M_tot: 0.000 μB per cell
DFT total energy: -7.19 eV per atom
DOS(E_F): 0.48 states/eV/atom
Space group: Imm2

Cell: 3.2945 3.5087 7.2980 Å, 103.85 103.04 90.00°
Fractional coordinates of all 4 atoms:
P  0.9269  0.9274  0.8538
Ta  0.2950  0.7943  0.5899
Pb  0.5488  0.5495  0.0977
P  0.7293  0.2288  0.4587

=====

No. 2
A relaxed structure of HgPd2Se2. Source: the Alexandria database, functional GGA-PBEsol.

Properties
M_tot: 0.000 μB per cell
DOS(E_F): 0.53 states/eV/atom
ΔE_f (raw): -0.06 eV per atom
Space group: I4/mmm

Cell: 4.9173 5.3719 4.9173 Å, 62.76 90.00 117.24°
Fractional coordinates of all 5 atoms:
Pd  0.6697  0.3395  0.3303
Pd  0.3303  0.6605  0.6697
Hg  0.0000  0.0000  0.0000
Se  0.2500  0.5000  0.2500
Se  0.7500  0.5000  0.7500

=====

No. 3
A relaxed structure of MnZn2Co. Source: the Alexandria database, functional GGA-PBEsol.

Properties
M_tot: 0.557 μB per cell
ΔE to the lowest computed polymorph: 5.8 meV/atom
DOS(E_F): 0.46 states/eV/atom
Space group: P4mm

Cell: 2.5535 2.5535 7.1839 Å, 90.00 90.00 90.00°
Fractional coordinates of all 4 atoms:
Mn  0.5000  0.5000  0.7252
Co  0.0000  0.0000  0.5197
Zn  0.5000  0.5000  0.2723
Zn  0.0000  0.0000  0.9828

=====

No. 4
A relaxed structure of Na3CoC. Source: the Alexandria database, functional GGA-PBEsol.

Properties
M_tot: 4.003 μB per cell
DFT total energy: -2.82 eV per atom
DOS(E_F): 0.61 states/eV/atom
Space group: Pm-3m

Cell: 4.8637 4.8637 4.8637 Å, 90.00 90.00 90.00°
Fractional coordinates of all 5 atoms:
Na  0.5000  0.0000  0.0000
C  0.0000  0.0000  0.0000
Na  0.0000  0.5000  0.0000
Co  0.5000  0.5000  0.5000
Na  0.0000  0.0000  0.5000

=====

No. 5
A relaxed structure of YAlP2. Source: the Alexandria database, functional GGA-PBEsol.

Properties
M_tot: 0.000 μB per cell
DFT total energy: -6.42 eV per atom
DOS(E_F): 0.22 states/eV/atom
Space group: P4mm

Cell: 3.7919 3.7919 5.5214 Å, 90.00 90.00 90.00°
Fractional coordinates of all 4 atoms:
P  0.5000  0.5000  0.3893
Al  0.5000  0.5000  0.8474
P  0.0000  0.0000  0.8823
Y  0.0000  0.0000  0.3810

=====

No. 6
A relaxed structure of SbP2PbCl. Source: the Alexandria database, functional GGA-PBEsol.

Properties
M_tot: 0.000 μB per cell
DOS(E_F): 0.66 states/eV/atom
ΔE_f (raw): 0.83 eV per atom
Space group: P4/mmm

Cell: 5.0482 5.1457 5.1457 Å, 90.00 90.00 90.00°
Fractional coordinates of all 5 atoms:
Cl  0.5000  0.0000  0.0000
Sb  0.5000  0.5000  0.5000
Pb  0.0000  0.0000  0.0000
P  0.0000  0.0000  0.5000
P  0.0000  0.5000  0.0000

=====

No. 7
A relaxed structure of Th4P6O23. Source: the Alexandria database, functional GGA-PBEsol.

Properties
M_tot: 0.001 μB per cell
DOS(E_F): 0.00 states/eV/atom
ΔE_f (raw): -2.92 eV per atom
Space group: Pmc2_1

Cell: 7.0765 10.4398 12.8643 Å, 90.00 90.00 90.00°
Fractional coordinates of all 66 atoms:
P  0.0000  0.6275  0.1376
Th  0.5000  0.4896  0.5880
O  0.5000  0.7691  0.3601
O  0.2823  0.1370  0.2548
O  0.0000  0.5679  0.2459
O  0.6699  0.4261  0.9315
O  0.5000  0.7305  0.0656
O  0.0000  0.2407  0.1973
O  0.5000  0.9462  0.9791
Th  0.0000  0.5102  0.4158
P  0.5000  0.1258  0.5832
O  0.3068  0.6531  0.6542
O  0.3068  0.3469  0.1542
O  0.6932  0.3469  0.1542
P  0.0000  0.1250  0.9174
O  0.0000  0.9494  0.5209
O  0.1694  0.4205  0.5711
P  0.7887  0.7242  0.7413
Th  0.5000  0.9768  0.3163
O  0.8314  0.0805  0.8474
Th  0.0000  0.9811  0.1857
O  0.0000  0.7593  0.6973
O  0.1924  0.3472  0.3427
O  0.3292  0.9180  0.1521
Th  0.0000  0.0189  0.6857
O  0.8314  0.9195  0.3474
O  0.5000  0.2695  0.5656
P  0.2113  0.7242  0.7413
O  0.0000  0.2682  0.9365
Th  0.0000  0.4898  0.9158
O  0.7177  0.8630  0.7548
P  0.5000  0.6232  0.3658
O  0.8076  0.3472  0.3427
O  0.0000  0.7318  0.4365
O  0.0000  0.7737  0.1462
Th  0.5000  0.0232  0.8163
O  0.5000  0.2309  0.8601
O  0.1686  0.9195  0.3474
P  0.7887  0.2758  0.2413
O  0.5000  0.0538  0.4791
P  0.2113  0.2758  0.2413
O  0.0000  0.4321  0.7459
O  0.8306  0.4205  0.5711
Th  0.5000  0.5104  0.0880
O  0.3301  0.4261  0.9315
P  0.5000  0.8742  0.0832
P  0.0000  0.8750  0.4174
O  0.1686  0.0805  0.8474
O  0.0000  0.2263  0.6462
O  0.3292  0.0820  0.6521
O  0.8306  0.5795  0.0711
O  0.0000  0.0506  0.0209
O  0.1694  0.5795  0.0711
O  0.5000  0.4334  0.7567
O  0.6708  0.9180  0.1521
O  0.7177  0.1370  0.2548
O  0.3301  0.5739  0.4315
O  0.5000  0.5666  0.2567
O  0.1924  0.6528  0.8427
P  0.0000  0.3725  0.6376
O  0.6699  0.5739  0.4315
P  0.5000  0.3768  0.8658
O  0.8076  0.6528  0.8427
O  0.6708  0.0820  0.6521
O  0.6932  0.6531  0.6542
O  0.2823  0.8630  0.7548

=====

No. 8
A relaxed structure of LiMn2Ni. Source: the Alexandria database, functional GGA-PBEsol.

Properties
M_tot: 1.112 μB per cell
DFT total energy: -6.68 eV per atom
DOS(E_F): 0.92 states/eV/atom
Space group: P4mm

Cell: 2.8201 2.8201 5.4576 Å, 90.00 90.00 90.00°
Fractional coordinates of all 4 atoms:
Ni  0.0000  0.0000  0.5024
Mn  0.0000  0.0000  0.0197
Li  0.5000  0.5000  0.7412
Mn  0.5000  0.5000  0.2368

=====

No. 9
A relaxed structure of LiNiP3O9. Source: the Alexandria database, functional GGA-PBEsol.

Properties
M_tot: 8.006 μB per cell
ΔE to the lowest computed polymorph: 40.2 meV/atom
ΔE_f (raw): -1.96 eV per atom
Space group: Pbcm

Cell: 4.9895 11.8121 12.8152 Å, 90.00 90.00 90.00°
Fractional coordinates of all 56 atoms:
O  0.8065  0.5578  0.8646
O  0.3236  0.0096  0.4062
P  0.7555  0.2500  0.5000
O  0.9037  0.1549  0.0506
O  0.5412  0.2990  0.4171
P  0.2445  0.7500  0.0000
P  0.4904  0.4194  0.3671
O  0.8065  0.9422  0.1354
O  0.1935  0.4422  0.3646
Ni  0.0000  0.0000  0.5000
O  0.4078  0.6070  0.7500
O  0.0963  0.8451  0.9494
Li  0.0298  0.9960  0.2500
O  0.4588  0.7990  0.0829
P  0.5096  0.9194  0.1329
O  0.3236  0.4904  0.9062
Ni  0.0000  0.5000  0.5000
P  0.4904  0.0806  0.8671
O  0.4078  0.8930  0.2500
O  0.0963  0.6549  0.0506
O  0.1935  0.4422  0.1354
O  0.5922  0.3930  0.2500
O  0.6764  0.9904  0.5938
O  0.8065  0.9422  0.3646
P  0.7555  0.2500  0.0000
P  0.4904  0.0806  0.6329
O  0.1935  0.0578  0.8646
P  0.5096  0.5806  0.8671
O  0.3236  0.4904  0.5938
Li  0.9702  0.0040  0.7500
O  0.4588  0.7990  0.4171
O  0.9037  0.3451  0.9494
Ni  0.0000  0.5000  0.0000
O  0.5412  0.2990  0.0829
O  0.0963  0.8451  0.5506
O  0.6764  0.5096  0.4062
P  0.4904  0.4194  0.1329
O  0.6764  0.9904  0.9062
P  0.5096  0.5806  0.6329
O  0.3236  0.0096  0.0938
O  0.5412  0.2010  0.5829
O  0.1935  0.0578  0.6354
O  0.5922  0.1070  0.7500
O  0.6764  0.5096  0.0938
O  0.4588  0.7010  0.5829
P  0.5096  0.9194  0.3671
Li  0.9702  0.4960  0.2500
O  0.4588  0.7010  0.9171
P  0.2445  0.7500  0.5000
O  0.9037  0.1549  0.4494
O  0.5412  0.2010  0.9171
Li  0.0298  0.5040  0.7500
O  0.9037  0.3451  0.5506
O  0.0963  0.6549  0.4494
O  0.8065  0.5578  0.6354
Ni  0.0000  0.0000  0.0000

=====

No. 10
A relaxed structure of CaSc2Pb. Source: the Alexandria database, functional GGA-PBEsol.

Properties
M_tot: 1.542 μB per cell
DFT total energy: -4.90 eV per atom
DOS(E_F): 1.72 states/eV/atom
Space group: F-43m

Cell: 5.2180 5.2180 5.2180 Å, 60.00 60.00 60.00°
Fractional coordinates of all 4 atoms:
Pb  0.2500  0.2500  0.2500
Sc  0.0000  0.0000  0.0000
Sc  0.7500  0.7500  0.7500
Ca  0.5000  0.5000  0.5000

=====

No. 11
A relaxed structure of Tc2MoAs. Source: the Alexandria database, functional GGA-PBEsol.

Properties
M_tot: 0.000 μB per cell
DFT total energy: -9.81 eV per atom
DOS(E_F): 0.70 states/eV/atom
Space group: Pmm2

Cell: 2.8699 4.0578 4.9642 Å, 90.00 90.00 90.00°
Fractional coordinates of all 4 atoms:
As  0.0000  0.0000  0.4957
Tc  0.0000  0.0000  0.9986
Tc  0.5000  0.5000  0.2560
Mo  0.5000  0.5000  0.7497

=====

No. 12
A relaxed structure of Al3TeI. Source: the Alexandria database, functional GGA-PBEsol.

Properties
M_tot: 0.000 μB per cell
DOS(E_F): 0.43 states/eV/atom
ΔE_f (raw): 0.71 eV per atom
Space group: Pm-3m

Cell: 5.4855 5.4855 5.4855 Å, 90.00 90.00 90.00°
Fractional coordinates of all 5 atoms:
Al  0.0000  0.0000  0.5000
Al  0.5000  0.0000  0.0000
Al  0.0000  0.5000  0.0000
Te  0.0000  0.0000  0.0000
I  0.5000  0.5000  0.5000

=====

V / A^3/atom: 19.92; 19.80; 11.71; 23.01; 19.85; 26.73; 14.40; 10.85; 13.49; 25.12; 14.45; 33.01